AlCrSnF6 PBE+U optimized geometry; N(E_F) = 6.6 states/eV/f.u.; space-group type = No. 163; total DFT energy (no corrections) = -99.577 eV for the cell shown
1.0
5.659 0.000 0.000
-2.829 4.901 0.000
0.000 0.000 9.628
F Al Sn Cr
12 2 2 2
Direct
0.675 0.070 0.359
0.325 0.395 0.859
0.395 0.325 0.359
0.070 0.675 0.859
0.605 0.675 0.641
0.325 0.930 0.641
0.930 0.605 0.359
0.605 0.930 0.859
0.930 0.325 0.141
0.675 0.605 0.141
0.070 0.395 0.641
0.395 0.070 0.141
0.667 0.333 0.250
0.333 0.667 0.750
0.000 0.000 0.000
0.000 0.000 0.500
0.333 0.667 0.250
0.667 0.333 0.750